## CaCoRh2Se (PBEsol)

Data for CaCoRh2Se after structural relaxation.

POSCAR file:
```
CaCoRh2Se
1.0
4.4751 0.0000 0.0000
0.0000 4.5456 0.0000
0.0000 0.0000 4.5456
Rh Ca Se Co
2 1 1 1
Direct
0.0000 0.5000 0.0000
0.0000 0.0000 0.5000
0.5000 0.5000 0.5000
0.5000 0.0000 0.0000
0.0000 0.0000 0.0000
```

**VASP energy**: -5.79 eV per atom
**Size of the total moment**: 2.8 μB per formula unit
**Uncorrected formation energy**: 0.21 eV/atom